SmHo5Th3 | GGA-PBE | optimized geometry

The crystal system is monoclinic. For the formation energy, the calculation gives 0.55 eV/atom. The calculation puts the density of states at the Fermi level at 1.540 states/eV/atom.

It has space group C2/m (No. 12), with a = 12.5574 Å, b = 8.2241 Å, c = 12.2958 Å, α = 90.00°, β = 96.09° and γ = 90.00°. The inequivalent atoms are Sm at (0.1387, 0.0000, 0.2671), Ho at (0.0000, 0.3284, 0.0000), Ho at (0.0556, 0.5000, 0.6220), Ho at (0.1335, 0.1941, 0.7748), Ho at (0.2442, 0.5000, 0.9778), Th at (0.0000, 0.0000, 0.0000), Th at (0.0000, 0.0000, 0.5000), Th at (0.1240, 0.5000, 0.2159) and Th at (0.2390, 0.5000, 0.4548).